(1)
# Pr10Dy4Th

Crystalline Pr10Dy4Th at its relaxed geometry (GGA-PBE, Alexandria via LeMat-Bulk).

The structure in CIF format:
```
data_Pr10Dy4Th
_space_group_name_H-M_alt 'P 1'
_space_group_IT_number 1
_space_group_name_Hall 'P 1'
_cell_length_a 9.023
_cell_length_b 9.023
_cell_length_c 9.023
_cell_angle_alpha 111.60
_cell_angle_beta 111.60
_cell_angle_gamma 105.29
loop_
_atom_site_label
_atom_site_type_symbol
_atom_site_fract_x
_atom_site_fract_y
_atom_site_fract_z
_atom_site_occupancy
Pr1 Pr 0.053 0.709 0.106 1
Pr2 Pr 0.053 0.947 0.656 1
Pr3 Pr 0.250 0.750 0.500 1
Pr4 Pr 0.291 0.397 0.344 1
Pr5 Pr 0.397 0.053 0.106 1
Pr6 Pr 0.603 0.947 0.894 1
Pr7 Pr 0.709 0.603 0.656 1
Pr8 Pr 0.750 0.250 0.500 1
Pr9 Pr 0.947 0.053 0.344 1
Pr10 Pr 0.947 0.291 0.894 1
Dy1 Dy 0.225 0.558 0.783 1
Dy2 Dy 0.442 0.225 0.667 1
Dy3 Dy 0.558 0.775 0.333 1
Dy4 Dy 0.775 0.442 0.217 1
Th1 Th 0.000 0.000 0.000 1
```

SG: I4/m (87)
V (A^3/atom): 37.55

---

(2)
# Pr5Dy5Th2

Crystalline Pr5Dy5Th2 at its relaxed geometry (GGA-PBE, Alexandria via LeMat-Bulk).

The structure in CIF format:
```
data_Pr5Dy5Th2
_space_group_name_H-M_alt 'P 1'
_space_group_IT_number 1
_space_group_name_Hall 'P 1'
_cell_length_a 8.115
_cell_length_b 8.115
_cell_length_c 11.501
_cell_angle_alpha 115.44
_cell_angle_beta 115.44
_cell_angle_gamma 36.63
loop_
_atom_site_label
_atom_site_type_symbol
_atom_site_fract_x
_atom_site_fract_y
_atom_site_fract_z
_atom_site_occupancy
Pr1 Pr 0.000 0.000 0.000 1
Pr2 Pr 0.081 0.081 0.747 1
Pr3 Pr 0.250 0.250 0.255 1
Pr4 Pr 0.750 0.750 0.745 1
Pr5 Pr 0.919 0.919 0.253 1
Dy1 Dy 0.332 0.332 0.998 1
Dy2 Dy 0.414 0.414 0.743 1
Dy3 Dy 0.500 0.500 0.500 1
Dy4 Dy 0.586 0.586 0.257 1
Dy5 Dy 0.668 0.668 0.002 1
Th1 Th 0.169 0.169 0.498 1
Th2 Th 0.831 0.831 0.502 1
```

SG: C2/m (12)
V (A^3/atom): 33.58

---

(3)
# PrDy2Th

Crystalline PrDy2Th at its relaxed geometry (GGA-PBE, Alexandria via LeMat-Bulk).

The structure in CIF format:
```
data_PrDy2Th
_space_group_name_H-M_alt 'P 1'
_space_group_IT_number 1
_space_group_name_Hall 'P 1'
_cell_length_a 11.902
_cell_length_b 11.902
_cell_length_c 11.902
_cell_angle_alpha 17.39
_cell_angle_beta 17.39
_cell_angle_gamma 17.39
loop_
_atom_site_label
_atom_site_type_symbol
_atom_site_fract_x
_atom_site_fract_y
_atom_site_fract_z
_atom_site_occupancy
Pr1 Pr 0.000 0.000 0.000 1
Dy1 Dy 0.418 0.418 0.418 1
Dy2 Dy 0.582 0.582 0.582 1
Th1 Th 0.166 0.166 0.166 1
```

E above lowest polymorph (eV per atom): 0.024
SG: R3m (160)
V (A^3/atom): 32.86

---

Going through the records in order, we get ΔH_f (0 K) values of 0.45; 0.04; 0.04 eV/atom.